# Ta2Pt (PBEsol, relaxed)
# D(E_F) = 6.185 states/eV/cell
# E_form = -340 meV/atom
# V = 100.78 Å³/cell
# total DFT energy (no corrections) = -33.09 eV/f.u.
data_Ta2Pt
_space_group_name_H-M_alt 'P 63/m m c'
_space_group_IT_number 194
_space_group_name_Hall '-P 6c 2c'
_cell_length_a 4.6457
_cell_length_b 4.6457
_cell_length_c 5.3919
_cell_angle_alpha 90.00
_cell_angle_beta 90.00
_cell_angle_gamma 120.00
loop_
_atom_site_label
_atom_site_fract_x
_atom_site_fract_y
_atom_site_fract_z
Ta1 0.0000 0.0000 0.0000
Ta2 0.3333 0.6667 0.2500
Pt1 0.3333 0.6667 0.7500